Entry 1:
# Y4Ag3Ru, optimized geometry, DFT PBE
data_Y4Ag3Ru
_cell_length_a 3.532
_cell_length_b 3.532
_cell_length_c 14.789
_cell_angle_alpha 90.00
_cell_angle_beta 90.00
_cell_angle_gamma 90.00
_symmetry_space_group_name_H-M 'P 4/m m m'
_symmetry_Int_Tables_number 123
_symmetry_space_group_name_Hall '-P 4 2'
loop_
_atom_site_label
_atom_site_fract_x
_atom_site_fract_y
_atom_site_fract_z
Y1 0.000 0.000 0.112
Y2 0.000 0.000 0.372
Ag1 0.500 0.500 0.245
Ag2 0.500 0.500 0.500
Ru1 0.500 0.500 0.000
# - energy (eV/cell) = -46.5
# - formation enthalpy at 0 K (meV/atom) = -347


Entry 2:
# YAgRu2, optimized geometry, DFT PBE
data_YAgRu2
_cell_length_a 3.179
_cell_length_b 4.789
_cell_length_c 4.896
_cell_angle_alpha 90.00
_cell_angle_beta 93.63
_cell_angle_gamma 90.00
_symmetry_space_group_name_H-M 'P 1 2/m 1'
_symmetry_Int_Tables_number 10
_symmetry_space_group_name_Hall '-P 2y'
loop_
_atom_site_label
_atom_site_fract_x
_atom_site_fract_y
_atom_site_fract_z
Y1 0.000 0.000 0.000
Ag1 0.500 0.000 0.500
Ru1 0.364 0.500 0.759
# - energy above the lowest structure with this stoichiometry (meV per atom) = 200
# - energy (eV/cell) = -26.6
# - formation enthalpy at 0 K (meV/atom) = 318


- The lowest energy belongs to which entry?
  Y4Ag3Ru